Entry 1:
# Sc2TaMo GGA-PBE relaxed
data_Sc2TaMo
_cell_length_a 2.8645
_cell_length_b 4.7420
_cell_length_c 5.6633
_cell_angle_alpha 90.00
_cell_angle_beta 90.00
_cell_angle_gamma 90.00
_symmetry_space_group_name_H-M 'P 1'
_symmetry_Int_Tables_number 1
_symmetry_space_group_name_Hall 'P 1'
loop_
_atom_site_label
_atom_site_fract_x
_atom_site_fract_y
_atom_site_fract_z
_atom_site_occupancy
Sc1 0.0000 0.0000 0.2459 1
Sc2 0.0000 0.0000 0.7541 1
Ta1 0.5000 0.5000 0.5000 1
Mo1 0.5000 0.5000 0.0000 1
# theoretical density	7.92	g/cm³
# ΔE to the lowest computed polymorph	76	kJ/mol of formula units
# formation energy from the elements	219	meV per atom
# E	-8.618	eV per atom



Entry 2:
# Sc2TaMo GGA-PBE relaxed
data_Sc2TaMo
_cell_length_a 5.7126
_cell_length_b 5.7126
_cell_length_c 5.7126
_cell_angle_alpha 145.25
_cell_angle_beta 132.93
_cell_angle_gamma 59.82
_symmetry_space_group_name_H-M 'P 1'
_symmetry_Int_Tables_number 1
_symmetry_space_group_name_Hall 'P 1'
loop_
_atom_site_label
_atom_site_fract_x
_atom_site_fract_y
_atom_site_fract_z
_atom_site_occupancy
Sc1 0.2230 0.2230 0.0000 1
Sc2 0.7770 0.7770 0.0000 1
Ta1 0.5000 0.0000 0.5000 1
Mo1 0.0000 0.5000 0.5000 1
# theoretical density	7.90	g/cm³
# ΔE to the lowest computed polymorph	47	kJ/mol of formula units
# formation energy from the elements	144	meV per atom
# E	-8.693	eV per atom



Entry 3:
# Sc4TaMo GGA-PBE relaxed
data_Sc4TaMo
_cell_length_a 5.5634
_cell_length_b 5.5634
_cell_length_c 5.5634
_cell_angle_alpha 60.00
_cell_angle_beta 60.00
_cell_angle_gamma 60.00
_symmetry_space_group_name_H-M 'P 1'
_symmetry_Int_Tables_number 1
_symmetry_space_group_name_Hall 'P 1'
loop_
_atom_site_label
_atom_site_fract_x
_atom_site_fract_y
_atom_site_fract_z
_atom_site_occupancy
Sc1 0.1248 0.1248 0.1248 1
Sc2 0.1248 0.1248 0.6257 1
Sc3 0.1248 0.6257 0.1248 1
Sc4 0.6257 0.1248 0.1248 1
Ta1 0.7500 0.7500 0.7500 1
Mo1 0.5000 0.5000 0.5000 1
# theoretical density	6.23	g/cm³
# formation energy from the elements	684	meV per atom
# E	-7.317	eV per atom



Entry 4:
# Sc2TaMo GGA-PBE relaxed
data_Sc2TaMo
_cell_length_a 2.9118
_cell_length_b 4.7842
_cell_length_c 5.6736
_cell_angle_alpha 90.00
_cell_angle_beta 104.59
_cell_angle_gamma 90.00
_symmetry_space_group_name_H-M 'P 1'
_symmetry_Int_Tables_number 1
_symmetry_space_group_name_Hall 'P 1'
loop_
_atom_site_label
_atom_site_fract_x
_atom_site_fract_y
_atom_site_fract_z
_atom_site_occupancy
Sc1 0.1708 0.0000 0.2564 1
Sc2 0.8292 0.0000 0.7436 1
Ta1 0.5000 0.5000 0.0000 1
Mo1 0.0000 0.5000 0.5000 1
# theoretical density	7.96	g/cm³
# ΔE to the lowest computed polymorph	62	kJ/mol of formula units
# formation energy from the elements	181	meV per atom
# E	-8.655	eV per atom



Entry 5:
# Sc2TaMo GGA-PBE relaxed
data_Sc2TaMo
_cell_length_a 2.9965
_cell_length_b 2.9965
_cell_length_c 9.6112
_cell_angle_alpha 90.00
_cell_angle_beta 90.00
_cell_angle_gamma 111.58
_symmetry_space_group_name_H-M 'P 1'
_symmetry_Int_Tables_number 1
_symmetry_space_group_name_Hall 'P 1'
loop_
_atom_site_label
_atom_site_fract_x
_atom_site_fract_y
_atom_site_fract_z
_atom_site_occupancy
Sc1 0.0000 0.0000 0.0000 1
Sc2 0.5000 0.5000 0.3013 1
Ta1 0.5000 0.5000 0.7429 1
Mo1 0.0000 0.0000 0.5335 1
# theoretical density	7.59	g/cm³
# ΔE to the lowest computed polymorph	37	kJ/mol of formula units
# formation energy from the elements	118	meV per atom
# E	-8.719	eV per atom



Entry 6:
# Sc2TaMo GGA-PBE relaxed
data_Sc2TaMo
_cell_length_a 2.8558
_cell_length_b 2.8558
_cell_length_c 9.7140
_cell_angle_alpha 90.00
_cell_angle_beta 90.00
_cell_angle_gamma 90.00
_symmetry_space_group_name_H-M 'P 1'
_symmetry_Int_Tables_number 1
_symmetry_space_group_name_Hall 'P 1'
loop_
_atom_site_label
_atom_site_fract_x
_atom_site_fract_y
_atom_site_fract_z
_atom_site_occupancy
Sc1 0.0000 0.0000 0.0000 1
Sc2 0.5000 0.5000 0.2988 1
Ta1 0.0000 0.0000 0.5357 1
Mo1 0.5000 0.5000 0.7717 1
# theoretical density	7.69	g/cm³
# ΔE to the lowest computed polymorph	84	kJ/mol of formula units
# formation energy from the elements	238	meV per atom
# E	-8.598	eV per atom



Entry 7:
# Sc2TaMo GGA-PBE relaxed
data_Sc2TaMo
_cell_length_a 4.7727
_cell_length_b 4.7727
_cell_length_c 4.7727
_cell_angle_alpha 60.00
_cell_angle_beta 60.00
_cell_angle_gamma 60.00
_symmetry_space_group_name_H-M 'P 1'
_symmetry_Int_Tables_number 1
_symmetry_space_group_name_Hall 'P 1'
loop_
_atom_site_label
_atom_site_fract_x
_atom_site_fract_y
_atom_site_fract_z
_atom_site_occupancy
Sc1 0.2500 0.2500 0.2500 1
Sc2 0.7500 0.7500 0.7500 1
Ta1 0.0000 0.0000 0.0000 1
Mo1 0.5000 0.5000 0.5000 1
# theoretical density	7.92	g/cm³
# ΔE to the lowest computed polymorph	155	kJ/mol of formula units
# formation energy from the elements	423	meV per atom
# E	-8.413	eV per atom



Entry 8:
# Sc2TaMo GGA-PBE relaxed
data_Sc2TaMo
_cell_length_a 2.8318
_cell_length_b 4.6969
_cell_length_c 5.8343
_cell_angle_alpha 90.00
_cell_angle_beta 90.00
_cell_angle_gamma 90.00
_symmetry_space_group_name_H-M 'P 1'
_symmetry_Int_Tables_number 1
_symmetry_space_group_name_Hall 'P 1'
loop_
_atom_site_label
_atom_site_fract_x
_atom_site_fract_y
_atom_site_fract_z
_atom_site_occupancy
Sc1 0.0000 0.0000 0.0000 1
Sc2 0.5000 0.5000 0.2694 1
Ta1 0.0000 0.0000 0.5222 1
Mo1 0.5000 0.5000 0.7442 1
# theoretical density	7.85	g/cm³
# ΔE to the lowest computed polymorph	97	kJ/mol of formula units
# formation energy from the elements	273	meV per atom
# E	-8.564	eV per atom



Entry 9:
# Sc2TaMo GGA-PBE relaxed
data_Sc2TaMo
_cell_length_a 6.0434
_cell_length_b 6.0434
_cell_length_c 6.0434
_cell_angle_alpha 102.63
_cell_angle_beta 102.63
_cell_angle_gamma 124.25
_symmetry_space_group_name_H-M 'P 1'
_symmetry_Int_Tables_number 1
_symmetry_space_group_name_Hall 'P 1'
loop_
_atom_site_label
_atom_site_fract_x
_atom_site_fract_y
_atom_site_fract_z
_atom_site_occupancy
Sc1 0.1042 0.1250 0.4792 1
Sc2 0.3750 0.8958 0.0208 1
Sc3 0.6458 0.6250 0.5208 1
Sc4 0.8750 0.3542 0.9792 1
Ta1 0.2500 0.7500 0.5000 1
Ta2 0.5000 0.5000 0.0000 1
Mo1 0.0000 0.0000 0.0000 1
Mo2 0.7500 0.2500 0.5000 1
# theoretical density	7.55	g/cm³
# ΔE to the lowest computed polymorph	277	kJ/mol of formula units
# formation energy from the elements	739	meV per atom
# E	-8.098	eV per atom



Entry 10:
# Sc2TaMo GGA-PBE relaxed
data_Sc2TaMo
_cell_length_a 2.8895
_cell_length_b 2.8895
_cell_length_c 9.5954
_cell_angle_alpha 90.00
_cell_angle_beta 90.00
_cell_angle_gamma 106.85
_symmetry_space_group_name_H-M 'P 1'
_symmetry_Int_Tables_number 1
_symmetry_space_group_name_Hall 'P 1'
loop_
_atom_site_label
_atom_site_fract_x
_atom_site_fract_y
_atom_site_fract_z
_atom_site_occupancy
Sc1 0.0000 0.0000 0.2385 1
Sc2 0.0000 0.0000 0.7615 1
Ta1 0.5000 0.5000 0.5000 1
Mo1 0.5000 0.5000 0.0000 1
# theoretical density	7.94	g/cm³
# ΔE to the lowest computed polymorph	79	kJ/mol of formula units
# formation energy from the elements	226	meV per atom
# E	-8.611	eV per atom



Entry 11:
# ScTaMo3 GGA-PBE relaxed
data_ScTaMo3
_cell_length_a 4.7928
_cell_length_b 4.7928
_cell_length_c 4.7928
_cell_angle_alpha 90.00
_cell_angle_beta 90.00
_cell_angle_gamma 90.00
_symmetry_space_group_name_H-M 'P 1'
_symmetry_Int_Tables_number 1
_symmetry_space_group_name_Hall 'P 1'
loop_
_atom_site_label
_atom_site_fract_x
_atom_site_fract_y
_atom_site_fract_z
_atom_site_occupancy
Sc1 0.0000 0.0000 0.0000 1
Ta1 0.5000 0.5000 0.5000 1
Mo1 0.0000 0.5000 0.5000 1
Mo2 0.5000 0.0000 0.5000 1
Mo3 0.5000 0.5000 0.0000 1
# theoretical density	7.75	g/cm³
# ΔE to the lowest computed polymorph	0	kJ/mol of formula units
# formation energy from the elements	1416	meV per atom
# E	-8.720	eV per atom



Entry 12:
# ScTa3Mo GGA-PBE relaxed
data_ScTa3Mo
_cell_length_a 4.8554
_cell_length_b 4.8554
_cell_length_c 4.8554
_cell_angle_alpha 90.00
_cell_angle_beta 90.00
_cell_angle_gamma 90.00
_symmetry_space_group_name_H-M 'P 1'
_symmetry_Int_Tables_number 1
_symmetry_space_group_name_Hall 'P 1'
loop_
_atom_site_label
_atom_site_fract_x
_atom_site_fract_y
_atom_site_fract_z
_atom_site_occupancy
Sc1 0.0000 0.0000 0.0000 1
Ta1 0.0000 0.5000 0.5000 1
Ta2 0.5000 0.0000 0.5000 1
Ta3 0.5000 0.5000 0.0000 1
Mo1 0.5000 0.5000 0.5000 1
# theoretical density	9.92	g/cm³
# ΔE to the lowest computed polymorph	0	kJ/mol of formula units
# formation energy from the elements	1085	meV per atom
# E	-9.460	eV per atom



Entry 13:
# Sc2TaMo GGA-PBE relaxed
data_Sc2TaMo
_cell_length_a 5.5583
_cell_length_b 5.5583
_cell_length_c 2.8785
_cell_angle_alpha 95.84
_cell_angle_beta 95.84
_cell_angle_gamma 118.33
_symmetry_space_group_name_H-M 'P 1'
_symmetry_Int_Tables_number 1
_symmetry_space_group_name_Hall 'P 1'
loop_
_atom_site_label
_atom_site_fract_x
_atom_site_fract_y
_atom_site_fract_z
_atom_site_occupancy
Sc1 0.0000 0.5000 0.0000 1
Sc2 0.5000 0.0000 0.0000 1
Ta1 0.0000 0.0000 0.5000 1
Mo1 0.5000 0.5000 0.5000 1
# theoretical density	7.94	g/cm³
# ΔE to the lowest computed polymorph	72	kJ/mol of formula units
# formation energy from the elements	209	meV per atom
# E	-8.628	eV per atom



Entry 14:
# ScTaTc2Mo GGA-PBE relaxed
data_ScTaTc2Mo
_cell_length_a 4.7230
_cell_length_b 4.7230
_cell_length_c 4.7442
_cell_angle_alpha 90.00
_cell_angle_beta 90.00
_cell_angle_gamma 90.00
_symmetry_space_group_name_H-M 'P 1'
_symmetry_Int_Tables_number 1
_symmetry_space_group_name_Hall 'P 1'
loop_
_atom_site_label
_atom_site_fract_x
_atom_site_fract_y
_atom_site_fract_z
_atom_site_occupancy
Sc1 0.0000 0.0000 0.0000 1
Ta1 0.5000 0.5000 0.0000 1
Tc1 0.0000 0.5000 0.5000 1
Tc2 0.5000 0.0000 0.5000 1
Mo1 0.5000 0.5000 0.5000 1
# theoretical density	8.13	g/cm³
# formation energy from the elements	1127	meV per atom
# E	-8.823	eV per atom



Entry 15:
# TbSc2Mo GGA-PBE relaxed
data_TbSc2Mo
_cell_length_a 3.3889
_cell_length_b 3.3889
_cell_length_c 8.0875
_cell_angle_alpha 90.00
_cell_angle_beta 90.00
_cell_angle_gamma 90.00
_symmetry_space_group_name_H-M 'P 1'
_symmetry_Int_Tables_number 1
_symmetry_space_group_name_Hall 'P 1'
loop_
_atom_site_label
_atom_site_fract_x
_atom_site_fract_y
_atom_site_fract_z
_atom_site_occupancy
Tb1 0.0000 0.0000 0.0000 1
Sc1 0.5000 0.5000 0.3086 1
Sc2 0.5000 0.5000 0.6914 1
Mo1 0.0000 0.0000 0.5000 1
# theoretical density	6.16	g/cm³
# ΔE to the lowest computed polymorph	0	kJ/mol of formula units
# formation energy from the elements	143	meV per atom
# E	-6.888	eV per atom



Entry 16:
# TbSc2Mo GGA-PBE relaxed
data_TbSc2Mo
_cell_length_a 10.7821
_cell_length_b 10.7821
_cell_length_c 10.7821
_cell_angle_alpha 17.38
_cell_angle_beta 17.38
_cell_angle_gamma 17.38
_symmetry_space_group_name_H-M 'P 1'
_symmetry_Int_Tables_number 1
_symmetry_space_group_name_Hall 'P 1'
loop_
_atom_site_label
_atom_site_fract_x
_atom_site_fract_y
_atom_site_fract_z
_atom_site_occupancy
Tb1 0.0000 0.0000 0.0000 1
Sc1 0.1039 0.1039 0.1039 1
Sc2 0.8961 0.8961 0.8961 1
Mo1 0.5000 0.5000 0.5000 1
# theoretical density	5.87	g/cm³
# ΔE to the lowest computed polymorph	76	kJ/mol of formula units
# formation energy from the elements	342	meV per atom
# E	-6.690	eV per atom



Entry 17:
# ScTc2Mo GGA-PBE relaxed
data_ScTc2Mo
_cell_length_a 3.1546
_cell_length_b 3.1546
_cell_length_c 6.4724
_cell_angle_alpha 90.00
_cell_angle_beta 90.00
_cell_angle_gamma 90.00
_symmetry_space_group_name_H-M 'P 1'
_symmetry_Int_Tables_number 1
_symmetry_space_group_name_Hall 'P 1'
loop_
_atom_site_label
_atom_site_fract_x
_atom_site_fract_y
_atom_site_fract_z
_atom_site_occupancy
Sc1 0.0000 0.0000 0.0000 1
Tc1 0.5000 0.5000 0.2675 1
Tc2 0.5000 0.5000 0.7325 1
Mo1 0.0000 0.0000 0.5000 1
# theoretical density	8.69	g/cm³
# ΔE to the lowest computed polymorph	2	kJ/mol of formula units
# formation energy from the elements	-174	meV per atom
# E	-9.647	eV per atom



Entry 18:
# ScTcMo GGA-PBE relaxed
data_ScTcMo
_cell_length_a 5.3491
_cell_length_b 5.3491
_cell_length_c 5.5902
_cell_angle_alpha 120.93
_cell_angle_beta 120.93
_cell_angle_gamma 49.46
_symmetry_space_group_name_H-M 'P 1'
_symmetry_Int_Tables_number 1
_symmetry_space_group_name_Hall 'P 1'
loop_
_atom_site_label
_atom_site_fract_x
_atom_site_fract_y
_atom_site_fract_z
_atom_site_occupancy
Sc1 0.0000 0.0000 0.0000 1
Sc2 0.6560 0.6560 0.8351 1
Tc1 0.3121 0.3121 0.6485 1
Tc2 0.6716 0.6716 0.3514 1
Mo1 0.3511 0.3511 0.1918 1
Mo2 0.9854 0.9854 0.4829 1
# theoretical density	7.92	g/cm³
# ΔE to the lowest computed polymorph	30	kJ/mol of formula units
# formation energy from the elements	-75	meV per atom
# E	-9.251	eV per atom



Entry 19:
# ScTcMo GGA-PBE relaxed
data_ScTcMo
_cell_length_a 7.1559
_cell_length_b 6.9501
_cell_length_c 2.8299
_cell_angle_alpha 82.54
_cell_angle_beta 74.37
_cell_angle_gamma 23.09
_symmetry_space_group_name_H-M 'P 1'
_symmetry_Int_Tables_number 1
_symmetry_space_group_name_Hall 'P 1'
loop_
_atom_site_label
_atom_site_fract_x
_atom_site_fract_y
_atom_site_fract_z
_atom_site_occupancy
Sc1 0.0000 0.0000 0.0000 1
Tc1 0.6683 0.6683 0.3317 1
Mo1 0.3199 0.3199 0.6801 1
# theoretical density	7.86	g/cm³
# ΔE to the lowest computed polymorph	74	kJ/mol of formula units
# formation energy from the elements	80	meV per atom
# E	-9.096	eV per atom



Entry 20:
# ScTcMo GGA-PBE relaxed
data_ScTcMo
_cell_length_a 6.4722
_cell_length_b 6.4722
_cell_length_c 4.4756
_cell_angle_alpha 90.00
_cell_angle_beta 90.00
_cell_angle_gamma 120.00
_symmetry_space_group_name_H-M 'P 1'
_symmetry_Int_Tables_number 1
_symmetry_space_group_name_Hall 'P 1'
loop_
_atom_site_label
_atom_site_fract_x
_atom_site_fract_y
_atom_site_fract_z
_atom_site_occupancy
Sc1 0.0000 0.4346 0.0000 1
Sc2 0.4346 0.0000 0.0000 1
Sc3 0.5654 0.5654 0.0000 1
Tc1 0.0000 0.0000 0.0000 1
Tc2 0.3333 0.6667 0.5000 1
Tc3 0.6667 0.3333 0.5000 1
Mo1 0.0000 0.7537 0.5000 1
Mo2 0.2463 0.2463 0.5000 1
Mo3 0.7537 0.0000 0.5000 1
# theoretical density	7.33	g/cm³
# ΔE to the lowest computed polymorph	44	kJ/mol of formula units
# formation energy from the elements	-24	meV per atom
# E	-9.201	eV per atom